1.
A plane-wave DFT calculation with GGA-PBE was carried out for crystalline TbY5As6 at its relaxed geometry.

It has space group C2/m (No. 12), with a = 7.150 Å, b = 12.379 Å, c = 7.146 Å, α = 90.00°, β = 109.48° and γ = 90.00°. The distinct sites, in fractional coordinates, are Tb at (0.000, 0.000, 0.000), Y at (0.000, 0.167, 0.500), Y at (0.000, 0.333, 0.000), Y at (0.000, 0.500, 0.500), As at (0.250, 0.000, 0.750) and As at (0.250, 0.167, 0.250).

Its total magnetic moment is 0.0 μB per cell. For the formation energy from the elements, the calculation gives -1.556 eV/atom.

***

2.
A plane-wave DFT calculation with GGA-PBE was carried out for crystalline Sm2YCd2 at its relaxed geometry.

It has space group P2_1/m (No. 11), with a = 3.763 Å, b = 5.386 Å, c = 14.160 Å, α = 90.00°, β = 97.64° and γ = 90.00°. The distinct sites, in fractional coordinates, are Sm at (0.045, 0.250, 0.088), Sm at (0.234, 0.250, 0.470), Y at (0.149, 0.750, 0.298), Cd at (0.361, 0.750, 0.721) and Cd at (0.445, 0.250, 0.890).

The value obtained for the relative energy among the computed polymorphs is 0.000 kcal/mol of atoms. Its total magnetic moment is 0.3 μB per cell. For the formation energy from the elements, the calculation gives -0.264 eV/atom.

***

3.
A plane-wave DFT calculation with GGA-PBE was carried out for crystalline HfThOs4 at its relaxed geometry.

It has space group F-43m (No. 216), with a = 7.580 Å, b = 7.580 Å, c = 7.580 Å, α = 90.00°, β = 90.00° and γ = 90.00°. The distinct sites, in fractional coordinates, are Hf at (0.000, 0.000, 0.000), Th at (0.250, 0.250, 0.250) and Os at (0.126, 0.126, 0.626).

Its total magnetic moment is 0.0 μB per cell. For the formation energy from the elements, the calculation gives -0.201 eV/atom.

***

4.
A plane-wave DFT calculation with GGA-PBE was carried out for crystalline Sm2HoCdAu4 at its relaxed geometry.

It has space group R-3m (No. 166, hexagonal axes), with a = 5.0589 Å, b = 5.0589 Å, c = 25.1721 Å, α = 90.00°, β = 90.00° and γ = 120.00°. The distinct sites, in fractional coordinates, are Sm at (0.0000, 0.0000, 0.2427), Ho at (0.0000, 0.0000, 0.0000), Cd at (0.0000, 0.0000, 0.5000), Au at (0.0000, 0.0000, 0.1191) and Au at (0.0000, 0.0000, 0.3650).

Its total magnetic moment is 0.0 μB per cell. For the formation energy from the elements, the calculation gives -0.768 eV/atom.

***

5.
A plane-wave DFT calculation with GGA-PBE was carried out for crystalline YWSe2 at its relaxed geometry.

It has space group Fm-3m (No. 225), with a = 6.714 Å, b = 6.714 Å, c = 6.714 Å, α = 90.00°, β = 90.00° and γ = 90.00°. The distinct sites, in fractional coordinates, are Y at (0.000, 0.000, 0.000), W at (0.000, 0.000, 0.500) and Se at (0.250, 0.250, 0.250).

The value obtained for the relative energy among the computed polymorphs is 4.220 kcal/mol of atoms. Its total magnetic moment is 3.9 μB per cell. As for the formation energy (no corrections): -0.356 eV/atom.

***

6.
A plane-wave DFT calculation with GGA-PBE was carried out for crystalline ZnAsIr2 at its relaxed geometry.

It has space group Cmmm (No. 65), with a = 2.850 Å, b = 4.884 Å, c = 8.746 Å, α = 90.00°, β = 90.00° and γ = 90.00°. The distinct sites, in fractional coordinates, are Zn at (0.000, 0.000, 0.000), As at (0.000, 0.000, 0.500) and Ir at (0.000, 0.500, 0.247).

The value obtained for the relative energy among the computed polymorphs is 4.272 kcal/mol of atoms. Its total magnetic moment is 0.0 μB per cell. For the formation energy from the elements, the calculation gives 0.171 eV/atom.

***

7.
A plane-wave DFT calculation with GGA-PBE was carried out for crystalline MnCo2Re at its relaxed geometry.

It has space group Imm2 (No. 44), with a = 2.885 Å, b = 4.155 Å, c = 8.185 Å, α = 90.00°, β = 90.00° and γ = 90.00°. The distinct sites, in fractional coordinates, are Mn at (0.000, 0.000, 0.000), Co at (0.000, 0.000, 0.508), Co at (0.000, 0.500, 0.261) and Re at (0.000, 0.500, 0.751).

The value obtained for the relative energy among the computed polymorphs is 3.095 kcal/mol of atoms. Its total magnetic moment is 10.1 μB per cell. For the formation energy from the elements, the calculation gives 0.147 eV/atom.

***

8.
A plane-wave DFT calculation with GGA-PBE was carried out for crystalline MgMo3S at its relaxed geometry.

It has space group Pm-3m (No. 221), with a = 4.633 Å, b = 4.633 Å, c = 4.633 Å, α = 90.00°, β = 90.00° and γ = 90.00°. The distinct sites, in fractional coordinates, are Mg at (0.000, 0.000, 0.000), Mo at (0.000, 0.000, 0.500) and S at (0.500, 0.500, 0.500).

The value obtained for the relative energy among the computed polymorphs is 46.294 kcal/mol of atoms. Its total magnetic moment is 1.7 μB per cell. As for the formation energy (no corrections): 2.396 eV/atom.

***

9.
A plane-wave DFT calculation with GGA-PBE was carried out for crystalline Li4ErAu at its relaxed geometry.

It has space group F-43m (No. 216), with a = 7.434 Å, b = 7.434 Å, c = 7.434 Å, α = 90.00°, β = 90.00° and γ = 90.00°. The distinct sites, in fractional coordinates, are Li at (0.122, 0.122, 0.378), Er at (0.000, 0.000, 0.000) and Au at (0.250, 0.250, 0.750).

Its total magnetic moment is 0.0 μB per cell. For the formation energy from the elements, the calculation gives -0.142 eV/atom.